1.
Density functional theory data (PBE) for crystalline Te2RhBr at its relaxed geometry.

## Properties
Total energy ... -33.3 eV/cell
Formation energy without anion corrections ... -0.34 eV per atom

a = 3.906 Å, b = 8.312 Å, c = 6.910 Å
α = 96.73°, β = 106.64°, γ = 91.79°
Atoms (fractional coordinates):
Rh 0.928 0.316 0.848
Rh 0.641 0.651 0.229
Te 0.570 0.335 0.125
Te 0.999 0.631 0.951
Te 0.289 0.316 0.573
Te 0.280 0.650 0.503
Br 0.890 0.008 0.801
Br 0.678 0.958 0.275


2.
Density functional theory data (PBE) for crystalline Rb3LaAg at its relaxed geometry.

## Properties
Formation energy from the elements ... 0.979 eV per atom
Total energy ... -5.8 eV/cell

a = 7.337 Å, b = 7.337 Å, c = 7.337 Å
α = 90.00°, β = 90.00°, γ = 90.00°
Atoms (fractional coordinates):
Rb 0.000 0.500 0.000
Rb 0.500 0.000 0.000
Rb 0.000 0.000 0.500
La 0.000 0.000 0.000
Ag 0.500 0.500 0.500


3.
Density functional theory data (PBE) for crystalline MnAl4Fe at its relaxed geometry.

## Properties
Formation energy from the elements ... -0.293 eV per atom
Total energy ... -34.4 eV/cell

a = 3.020 Å, b = 3.020 Å, c = 8.580 Å
α = 90.00°, β = 90.00°, γ = 90.00°
Atoms (fractional coordinates):
Al 0.500 0.500 0.844
Al 0.000 0.000 0.349
Al 0.000 0.000 0.651
Al 0.500 0.500 0.156
Fe 0.500 0.500 0.500
Mn 0.000 0.000 0.000


4.
Density functional theory data (PBE) for crystalline Zn2InAsO6 at its relaxed geometry.

## Properties
Total energy ... -106.7 eV/cell
Formation energy without anion corrections ... -1.36 eV per atom

a = 5.422 Å, b = 6.642 Å, c = 6.642 Å
α = 87.38°, β = 84.85°, γ = 84.85°
Atoms (fractional coordinates):
O 0.359 0.526 0.722
O 0.441 0.849 0.357
O 0.366 0.217 0.009
O 0.941 0.357 0.849
O 0.559 0.151 0.643
O 0.134 0.991 0.783
O 0.641 0.474 0.278
O 0.866 0.009 0.217
O 0.059 0.643 0.151
O 0.141 0.278 0.474
O 0.634 0.783 0.991
O 0.859 0.722 0.526
Zn 0.704 0.583 0.770
Zn 0.296 0.417 0.230
Zn 0.796 0.230 0.417
Zn 0.204 0.770 0.583
As 0.250 0.273 0.727
As 0.750 0.727 0.273
In 0.750 0.090 0.910
In 0.250 0.910 0.090


5.
Density functional theory data (PBE) for crystalline Ho12Al5Tl2 at its relaxed geometry.

## Properties
Formation energy from the elements ... -0.041 eV per atom
Total energy ... -79.2 eV/cell

a = 7.127 Å, b = 8.739 Å, c = 9.726 Å
α = 92.90°, β = 90.00°, γ = 114.06°
Atoms (fractional coordinates):
Ho 0.943 0.370 0.130
Ho 0.590 0.707 0.441
Ho 0.427 0.370 0.130
Ho 0.573 0.630 0.870
Ho 0.096 0.192 0.822
Ho 0.117 0.707 0.441
Ho 0.410 0.293 0.559
Ho 0.527 0.054 0.314
Ho 0.057 0.630 0.870
Ho 0.473 0.946 0.686
Ho 0.904 0.808 0.178
Ho 0.883 0.293 0.559
Tl 0.286 0.000 0.000
Tl 0.714 0.000 0.000
Al 0.721 0.441 0.348
Al 0.648 0.295 0.847
Al 0.352 0.705 0.153
Al 0.279 0.559 0.652
Al 0.000 0.000 0.500


6.
Density functional theory data (PBE) for crystalline TaBeAsSe2 at its relaxed geometry.

## Properties
Total energy ... -24.0 eV/cell
Formation energy without anion corrections ... 0.65 eV per atom

a = 4.577 Å, b = 4.577 Å, c = 4.290 Å
α = 90.00°, β = 90.00°, γ = 90.00°
Atoms (fractional coordinates):
As 0.000 0.000 0.500
Be 0.000 0.000 0.000
Ta 0.500 0.500 0.500
Se 0.500 0.000 0.000
Se 0.000 0.500 0.000


Q: Number 3 is which compound?
A: MnAl4Fe